The following is a DFT calculation (GGA-PBE) of a relaxed TbLuAl crystal.

Properties
total DFT energy (no corrections) = -4.449 eV per atom
E_form = -0.151 eV/atom
space-group type = P3m1 (156)
magnetic moment = 0.00 μB/f.u.

Cell lengths 5.027, 5.027, 3.533 Å; angles 90.00, 90.00, 120.00 degrees
Element x y z (fractional)
Tb 0.000 0.000 0.000
Lu 0.667 0.333 0.444
Al 0.333 0.667 0.674